No. 1
# TaHg3Rh

An optimized crystal structure of TaHg3Rh (PBE-GGA, the Alexandria database).

Cell: 5.042 5.042 5.042 Å, 90.00 90.00 90.00°
Positions (direct):
Ta (0.500, 0.500, 0.500)
Hg (0.500, 0.000, 0.000)
Hg (0.000, 0.500, 0.000)
Hg (0.000, 0.000, 0.500)
Rh (0.000, 0.000, 0.000)

Output
Energy of formation from the pure elements, eV per formula unit: 6.738
V, Å³ per cell: 128.2
SG: Pm-3m (221)
Calculated density, g cm⁻³: 11.47
DOS(E_F), states/eV/f.u.: 13.63

=====

No. 2
# SmAl4Cu2

An optimized crystal structure of SmAl4Cu2 (PBE-GGA, the Alexandria database).

Cell: 4.180 4.193 7.277 Å, 106.74 90.00 90.00°
Positions (direct):
Al (0.500, 0.817, 0.635)
Al (0.500, 0.183, 0.365)
Al (0.000, 0.317, 0.634)
Al (0.000, 0.683, 0.366)
Cu (0.500, 0.588, 0.176)
Cu (0.500, 0.412, 0.824)
Sm (0.000, 0.000, 0.000)

Output
Energy of formation from the pure elements, eV per formula unit: -2.176
V, Å³ per cell: 122.1
SG: Cmmm (65)
Calculated density, g cm⁻³: 5.24
DOS(E_F), states/eV/f.u.: 2.55

=====

No. 3
# SrEr2Ga6

An optimized crystal structure of SrEr2Ga6 (PBE-GGA, the Alexandria database).

Cell: 4.256 7.365 7.365 Å, 120.00 90.00 90.00°
Positions (direct):
Er (0.000, 0.667, 0.333)
Er (0.000, 0.333, 0.667)
Ga (0.500, 0.337, 0.000)
Ga (0.500, 0.663, 0.000)
Ga (0.500, 0.337, 0.337)
Ga (0.500, 0.663, 0.663)
Ga (0.500, 0.000, 0.337)
Ga (0.500, 0.000, 0.663)
Sr (0.000, 0.000, 0.000)

Output
Energy of formation from the pure elements, eV per formula unit: -4.825
V, Å³ per cell: 200.0
SG: P6/mmm (191)
Calculated density, g cm⁻³: 6.98
DOS(E_F), states/eV/f.u.: 2.74

=====

No. 4
# Ta2Hg

An optimized crystal structure of Ta2Hg (PBE-GGA, the Alexandria database).

Cell: 9.948 9.948 9.948 Å, 159.07 159.07 29.77°
Positions (direct):
Hg (0.750, 0.250, 0.500)
Hg (0.000, 0.000, 0.000)
Ta (0.429, 0.429, 0.000)
Ta (0.571, 0.571, 0.000)
Ta (0.179, 0.679, 0.500)
Ta (0.321, 0.821, 0.500)

Output
Energy of formation from the pure elements, eV per formula unit: 2.845
V, Å³ per cell: 125.5
SG: I4_1/amd (141)
Calculated density, g cm⁻³: 14.88
DOS(E_F), states/eV/f.u.: 2.34

=====

No. 5
# NaU4S7

An optimized crystal structure of NaU4S7 (PBE-GGA, the Alexandria database).

Cell: 3.943 3.943 22.940 Å, 90.00 90.00 120.00°
Positions (direct):
S (0.000, 0.000, 0.000)
S (0.333, 0.667, 0.420)
S (0.667, 0.333, 0.580)
S (0.000, 0.000, 0.290)
S (0.000, 0.000, 0.710)
S (0.667, 0.333, 0.869)
S (0.333, 0.667, 0.131)
U (0.333, 0.667, 0.931)
U (0.333, 0.667, 0.649)
U (0.667, 0.333, 0.069)
U (0.667, 0.333, 0.351)
Na (0.000, 0.000, 0.500)

Output
V, Å³ per cell: 308.8
ΔE_f (raw), eV/atom: -1.3535
SG: P-3m1 (164)
Calculated density, g cm⁻³: 6.45
DOS(E_F), states/eV/f.u.: 16.47

=====

No. 6
# Tb3CeSm6Dy2

An optimized crystal structure of Tb3CeSm6Dy2 (PBE-GGA, the Alexandria database).

Cell: 6.225 6.225 11.898 Å, 95.02 95.02 120.01°
Positions (direct):
Sm (0.917, 0.586, 0.751)
Sm (0.751, 0.751, 0.250)
Sm (0.586, 0.917, 0.751)
Sm (0.414, 0.083, 0.249)
Sm (0.083, 0.414, 0.249)
Sm (0.249, 0.249, 0.750)
Tb (0.167, 0.833, 0.500)
Tb (0.833, 0.167, 0.500)
Tb (0.500, 0.500, 0.500)
Dy (0.666, 0.334, 0.000)
Dy (0.334, 0.666, 0.000)
Ce (0.000, 0.000, 0.000)

Output
Energy of formation from the pure elements, eV per formula unit: 0.441
V, Å³ per cell: 393.1
SG: C2/m (12)
Calculated density, g cm⁻³: 7.79
DOS(E_F), states/eV/f.u.: 20.10

=====

No. 7
# MgGa

An optimized crystal structure of MgGa (PBE-GGA, the Alexandria database).

Cell: 3.049 3.049 15.320 Å, 90.00 90.00 120.00°
Positions (direct):
Mg (0.667, 0.333, 0.324)
Mg (0.667, 0.333, 0.676)
Mg (0.000, 0.000, 0.500)
Ga (0.000, 0.000, 0.161)
Ga (0.000, 0.000, 0.839)
Ga (0.667, 0.333, 0.000)

Output
Energy of formation from the pure elements, eV per formula unit: -0.007
V, Å³ per cell: 123.3
SG: P-6m2 (187)
Calculated density, g cm⁻³: 3.80
DOS(E_F), states/eV/f.u.: 0.61

=====

No. 8
# KLiZr2

An optimized crystal structure of KLiZr2 (PBE-GGA, the Alexandria database).

Cell: 4.127 4.127 13.195 Å, 81.00 81.00 90.00°
Positions (direct):
Zr (0.134, 0.125, 0.250)
Zr (0.875, 0.384, 0.750)
Zr (0.375, 0.866, 0.750)
Zr (0.616, 0.625, 0.250)
K (0.750, 0.250, 0.500)
K (0.000, 0.000, 0.000)
Li (0.250, 0.750, 0.500)
Li (0.500, 0.500, 0.000)

Output
Energy of formation from the pure elements, eV per formula unit: 3.206
V, Å³ per cell: 219.2
SG: I-42d (122)
Calculated density, g cm⁻³: 3.46
DOS(E_F), states/eV/f.u.: 4.72

=====

No. 9
# TlCdGeO4

An optimized crystal structure of TlCdGeO4 (PBE-GGA, the Alexandria database).

Cell: 6.693 6.546 6.546 Å, 58.42 59.25 59.25°
Positions (direct):
Tl (0.000, 0.500, 0.500)
Tl (0.000, 0.000, 0.000)
O (0.265, 0.251, 0.219)
O (0.730, 0.741, 0.241)
O (0.712, 0.259, 0.759)
O (0.735, 0.281, 0.249)
O (0.270, 0.259, 0.759)
O (0.265, 0.719, 0.751)
O (0.288, 0.741, 0.241)
O (0.735, 0.749, 0.781)
Cd (0.000, 0.000, 0.500)
Cd (0.500, 0.000, 0.500)
Ge (0.378, 0.372, 0.872)
Ge (0.622, 0.628, 0.128)

Output
V, Å³ per cell: 198.0
ΔE_f (raw), eV/atom: -1.0760
SG: Imma (74)
Calculated density, g cm⁻³: 7.60
DOS(E_F), states/eV/f.u.: 1.51

=====

No. 10
# La2Nd2Y15

An optimized crystal structure of La2Nd2Y15 (PBE-GGA, the Alexandria database).

Cell: 8.854 8.854 8.854 Å, 80.27 80.27 80.27°
Positions (direct):
Y (0.000, 0.301, 0.699)
Y (0.850, 0.366, 0.366)
Y (0.366, 0.366, 0.850)
Y (0.301, 0.699, 0.000)
Y (0.699, 0.301, 0.000)
Y (0.000, 0.699, 0.301)
Y (0.500, 0.000, 0.000)
Y (0.150, 0.634, 0.634)
Y (0.366, 0.850, 0.366)
Y (0.634, 0.634, 0.150)
Y (0.301, 0.000, 0.699)
Y (0.000, 0.500, 0.000)
Y (0.699, 0.000, 0.301)
Y (0.000, 0.000, 0.500)
Y (0.634, 0.150, 0.634)
La (0.330, 0.330, 0.330)
La (0.670, 0.670, 0.670)
Nd (0.904, 0.904, 0.904)
Nd (0.096, 0.096, 0.096)

Output
Energy of formation from the pure elements, eV per formula unit: 5.272
V, Å³ per cell: 667.3
SG: R-3m (166)
Calculated density, g cm⁻³: 4.73
DOS(E_F), states/eV/f.u.: 43.38

=====

No. 11
# Y12AlNi6

An optimized crystal structure of Y12AlNi6 (PBE-GGA, the Alexandria database).

Cell: 8.415 8.415 8.415 Å, 109.47 109.47 109.47°
Positions (direct):
Y (0.301, 0.114, 0.813)
Y (0.301, 0.488, 0.187)
Y (0.114, 0.813, 0.301)
Y (0.813, 0.699, 0.512)
Y (0.699, 0.512, 0.813)
Y (0.187, 0.699, 0.886)
Y (0.886, 0.187, 0.699)
Y (0.488, 0.187, 0.301)
Y (0.512, 0.813, 0.699)
Y (0.813, 0.301, 0.114)
Y (0.187, 0.301, 0.488)
Y (0.699, 0.886, 0.187)
Ni (0.377, 0.500, 0.877)
Ni (0.500, 0.877, 0.377)
Ni (0.623, 0.500, 0.123)
Ni (0.123, 0.623, 0.500)
Ni (0.877, 0.377, 0.500)
Ni (0.500, 0.123, 0.623)
Al (0.000, 0.000, 0.000)

Output
Energy of formation from the pure elements, eV per formula unit: -6.363
V, Å³ per cell: 458.7
SG: Im-3 (204)
Calculated density, g cm⁻³: 5.23
DOS(E_F), states/eV/f.u.: 20.84

=====

No. 12
# TbThAg3

An optimized crystal structure of TbThAg3 (PBE-GGA, the Alexandria database).

Cell: 3.439 4.854 14.437 Å, 90.00 96.84 90.00°
Positions (direct):
Tb (0.210, 0.750, 0.421)
Tb (0.790, 0.250, 0.579)
Ag (0.524, 0.750, 0.048)
Ag (0.378, 0.250, 0.756)
Ag (0.323, 0.750, 0.646)
Ag (0.622, 0.750, 0.244)
Ag (0.476, 0.250, 0.952)
Ag (0.677, 0.250, 0.354)
Th (0.074, 0.250, 0.149)
Th (0.926, 0.750, 0.851)

Output
Energy of formation from the pure elements, eV per formula unit: -0.942
V, Å³ per cell: 239.3
SG: Cmcm (63)
Calculated density, g cm⁻³: 9.92
DOS(E_F), states/eV/f.u.: 3.59